# 1
The following is a PBE-GGA calculation of crystalline Fe2Ir at its relaxed geometry, from Alexandria.

The structure in extended XYZ format:
```
6
Lattice="1.339 -6.784 0.000 1.339 6.784 0.000 0.000 0.000 4.114" Properties=species:S:1:pos:R:3 pbc="T T T"
Fe 1.339 6.049 3.085
Fe 1.339 3.023 1.028
Fe 1.339 -3.023 3.085
Fe 1.339 -6.049 1.028
Ir 1.339 1.510 3.085
Ir 1.339 -1.510 1.028
```

Properties
- Energy of formation from the pure elements: -0.1 eV per formula unit
- DOS(E_F): 1.20 states/eV/atom

=====

# 2
The following is a PBE-GGA calculation of crystalline Be2MoAs at its relaxed geometry, from Alexandria.

The structure in extended XYZ format:
```
4
Lattice="0.000 2.953 2.953 2.953 0.000 2.953 2.953 2.953 0.000" Properties=species:S:1:pos:R:3 pbc="T T T"
Be 0.000 0.000 0.000
Be 1.477 1.477 1.477
Mo 4.430 4.430 4.430
As 2.953 2.953 2.953
```

Properties
- Energy of formation from the pure elements: 2.1 eV per formula unit
- DOS(E_F): 0.90 states/eV/atom

=====

# 3
The following is a PBE-GGA calculation of crystalline BeCu2Pb at its relaxed geometry, from Alexandria.

The structure in extended XYZ format:
```
4
Lattice="0.000 3.146 3.146 3.146 0.000 3.146 3.146 3.146 0.000" Properties=species:S:1:pos:R:3 pbc="T T T"
Be 0.000 0.000 0.000
Cu 1.573 1.573 1.573
Cu 4.719 4.719 4.719
Pb 3.146 3.146 3.146
```

Properties
- Energy of formation from the pure elements: 2.0 eV per formula unit
- DOS(E_F): 0.33 states/eV/atom
- E above lowest polymorph: 262 meV per atom

=====

# 4
The following is a PBE-GGA calculation of crystalline CsTi2Cl7 at its relaxed geometry, from Alexandria.

The structure in extended XYZ format:
```
10
Lattice="4.215 -9.350 0.000 4.215 9.350 0.000 0.000 0.000 4.019" Properties=species:S:1:pos:R:3 pbc="T T T"
Cs 0.000 0.000 0.000
Ti 4.215 2.436 2.010
Ti 4.215 -2.436 2.010
Cl 1.893 2.320 2.010
Cl 4.215 3.759 0.000
Cl 1.893 -2.320 2.010
Cl 4.215 0.000 2.010
Cl 6.537 2.320 2.010
Cl 4.215 -3.759 0.000
Cl 6.537 -2.320 2.010
```

Properties
- DOS(E_F): 0.58 states/eV/atom
- E above lowest polymorph: 182 meV per atom
- Raw formation energy: -1.535 eV/atom

=====

# 5
The following is a PBE-GGA calculation of crystalline Sm3Ag2Pb at its relaxed geometry, from Alexandria.

The structure in extended XYZ format:
```
6
Lattice="2.651 -8.090 0.000 2.651 8.090 0.000 0.000 0.000 3.793" Properties=species:S:1:pos:R:3 pbc="T T T"
Sm 0.000 0.000 0.000
Sm 2.651 2.773 0.000
Sm 2.651 -2.773 0.000
Ag 2.651 5.312 1.896
Ag 2.651 -5.312 1.896
Pb 2.651 0.000 1.896
```

Properties
- Energy of formation from the pure elements: -2.0 eV per formula unit
- DOS(E_F): 1.16 states/eV/atom

=====

# 6
The following is a PBE-GGA calculation of crystalline SmScIr2 at its relaxed geometry, from Alexandria.

The structure in extended XYZ format:
```
4
Lattice="3.262 0.000 0.000 0.000 3.262 0.000 0.000 0.000 7.142" Properties=species:S:1:pos:R:3 pbc="T T T"
Sm 0.000 0.000 0.000
Sc 0.000 0.000 3.571
Ir 1.631 1.631 1.974
Ir 1.631 1.631 5.168
```

Properties
- Energy of formation from the pure elements: -3.2 eV per formula unit
- DOS(E_F): 0.19 states/eV/atom
- E above lowest polymorph: 0 meV per atom

=====

Q: Look up the DOS(E_F) of the fourth one.
A: 0.58 states/eV/atom